(1)
K3Rb2BaI6 (GGA-PBE, relaxed); V = 583.9 Å³ per cell; space-group type = C2/m; theoretical density = 3.376 g/cm³; uncorrected formation energy = -17.02 eV per formula unit
1.0
4.9611 0.0000 0.0000
0.0000 10.6931 0.3954
-2.4806 -3.0724 10.8932
I K Rb Ba
6 3 2 1
Cartesian
0.0000 2.3134 7.4867
0.0000 8.0245 0.3460
0.0000 7.8475 7.7192
2.4806 -0.4038 10.9426
2.4806 -0.2268 3.5694
2.4805 5.3073 3.8019
2.4806 5.3465 0.1977
0.0000 7.8642 3.9750
2.4806 -0.2435 7.3136
0.0000 2.5529 3.7750
2.4806 5.0678 7.5136
2.4806 0.0000 0.0000

(2)
MgTl2AgS4 (GGA-PBE, relaxed); V = 216.1 Å³ per cell; space-group type = Fmm2; theoretical density = 5.143 g/cm³; uncorrected formation energy = -3.35 eV per formula unit
1.0
-1.5508 5.1383 -2.9050
-0.6723 -3.1644 -5.1750
-4.4623 -1.9328 5.3425
S Ag Tl Mg
4 1 2 1
Cartesian
-2.5979 2.7871 -3.1913
-4.8330 -0.2492 -0.9590
-3.7533 -1.2079 2.9655
-2.1713 -1.2453 -4.2938
-0.0059 -0.0010 0.0014
-3.5671 2.0954 -0.8002
-3.1278 -2.0560 -1.9351
-1.1147 0.9864 -4.0393

(3)
KGaGe (GGA-PBE, relaxed); DFT formation energy = 36.7 kJ per mole of atoms; V = 294.8 Å³ per cell; space-group type = P6_3/mmc; theoretical density = 2.045 g/cm³
1.0
5.1741 -2.9872 0.0000
0.0000 5.9745 0.0000
0.0000 0.0000 9.5352
Ge Ga K
2 2 2
Cartesian
0.0000 0.0000 0.0000
0.0000 0.0000 4.7676
0.0000 0.0000 2.3838
0.0000 0.0000 7.1514
1.7247 2.9873 2.3838
3.4494 0.0000 7.1514

(4)
AlCr2 (GGA-PBE, relaxed); DFT formation energy = 32.5 kJ per mole of atoms; V = 82.2 Å³ per cell; space-group type = Imma; theoretical density = 5.292 g/cm³
1.0
2.8350 -7.0933 -2.2861
3.6645 -6.6049 2.5542
-5.3887 5.8210 -0.8100
Al Cr
2 4
Cartesian
1.7921 -5.4406 -0.6738
-0.6813 -2.4366 0.1319
1.8165 -4.3736 1.7303
2.7713 -6.3861 1.7697
-0.7056 -3.5036 -2.2722
-1.6605 -1.4911 -2.3116

(5)
KLa2Tc2 (GGA-PBE, relaxed); energy above the most stable polymorph in this dataset = 0 meV per atom; DFT formation energy = 36.5 kJ per mole of atoms; V = 165.5 Å³ per cell; space-group type = I4/mmm; theoretical density = 5.147 g/cm³
1.0
-2.5710 -2.5069 0.5526
2.5412 -2.5961 0.0457
1.2388 -1.1065 12.6875
La Tc K
2 2 1
Cartesian
0.3612 -2.1180 4.0157
0.8478 -4.0916 9.2701
1.8826 -3.1271 6.5162
-0.6736 -3.0825 6.7696
0.0000 0.0000 0.0000

(6)
La2Al3Ag2 (GGA-PBE, relaxed); energy above the most stable polymorph in this dataset = 18 meV per atom; DFT formation energy = -34.0 kJ per mole of atoms; V = 331.5 Å³ per cell; space-group type = Cmcm; theoretical density = 5.755 g/cm³
1.0
4.4110 0.0000 -1.0516
0.0000 7.5226 0.0000
0.0485 0.0000 9.9801
Ag Al La
4 6 4
Cartesian
1.4003 0.4153 5.8734
3.0592 4.1766 3.0550
3.0592 7.1072 3.0550
1.4003 3.3460 5.8734
3.4448 1.8806 4.6724
2.4700 3.1851 0.5837
1.0147 5.6419 4.2561
1.9895 4.3374 8.3447
2.4700 0.5762 0.5837
1.9895 6.9464 8.3447
4.2059 1.8806 7.8646
0.2536 5.6419 1.0638
0.7073 1.8806 2.9668
3.7522 5.6419 5.9616

(7)
CuOsCl2 (GGA-PBE, relaxed); energy above the most stable polymorph in this dataset = 419 meV per atom; V = 78.8 Å³ per cell; space-group type = Cmmm; theoretical density = 6.845 g/cm³; uncorrected formation energy = 2.56 eV per formula unit
1.0
3.0611 0.0140 0.0000
-1.7305 2.5251 0.0000
0.0000 0.0000 10.1590
Cl Os Cu
2 1 1
Cartesian
0.0000 0.0000 9.5141
0.0000 0.0000 5.7244
0.6653 1.2695 7.6193
0.6653 1.2695 2.5398

(8)
CsRb2UI6 (GGA-PBE, relaxed); V = 1081.5 Å³ per cell; space-group type = P2_1/c; theoretical density = 4.002 g/cm³; uncorrected formation energy = -12.43 eV per formula unit
1.0
-0.7457 -1.7882 8.5948
2.2268 -9.1392 -1.7083
12.4331 2.7084 1.7176
U Cs I Rb
2 2 12 4
Cartesian
1.1134 -4.5696 -0.8542
5.8437 0.4601 5.1562
7.3300 -3.2154 0.0046
-0.3728 -0.8941 4.2974
10.7824 -7.2620 2.6830
7.3761 -2.1215 6.1339
3.1319 -0.9570 5.9210
2.1032 -6.4564 1.4401
5.6106 -0.7585 2.2814
1.4112 -2.0846 1.0706
11.8111 -1.7626 7.1639
8.3037 -7.4605 6.3227
12.5031 -6.1344 7.5335
3.3527 -6.0618 6.7663
6.5383 -6.0976 2.4702
10.5616 -2.1573 1.8378
3.6553 -3.9181 3.7026
10.2590 -4.3010 4.9015
5.1350 -7.7151 -0.8069
8.7793 -0.5039 9.4110